{"formula": "Pm5Si2Au", "functional": "PBE", "state": "optimized geometry", "cell": [[6.895, 0.000, -3.255], [-1.537, 6.722, -3.255], [0.102, 0.128, 9.147]], "species": ["Au", "Pm", "Au", "Si", "Si", "Pm", "Pm", "Pm", "Si", "Pm", "Pm", "Si", "Pm", "Pm", "Pm", "Pm"], "fractional_positions": [[0.750, 0.750, 0.500], [0.183, 0.033, 0.716], [0.250, 0.250, 0.500], [0.116, 0.384, 0.000], [0.884, 0.616, 0.000], [0.467, 0.317, 0.284], [0.317, 0.817, 0.284], [0.033, 0.533, 0.716], [0.384, 0.884, 0.000], [0.967, 0.467, 0.284], [0.533, 0.683, 0.716], [0.616, 0.116, 0.000], [0.500, 0.500, 0.000], [0.000, 0.000, 0.000], [0.683, 0.183, 0.716], [0.817, 0.967, 0.284]], "crystal_system": "tetragonal", "n_ef_per_ev_cell": 16.9, "e_form_raw_kj_per_mol_fu": -473, "dft_energy_ev_per_atom": -5.35, "sg": "I4/mcm", "de_polymorph_ev_per_atom": 0.000}

***

{"formula": "Ce2MgSe4", "functional": "PBE", "state": "optimized geometry", "cell": [[-3.125, -6.980, 0.457], [7.412, -1.104, -1.593], [-0.883, 3.869, 6.553]], "species": ["Se", "Ce", "Se", "Se", "Ce", "Se", "Mg", "Se", "Ce", "Ce", "Mg", "Se", "Se", "Se"], "fractional_positions": [[0.640, 0.874, 0.625], [0.875, 0.749, 0.374], [0.765, 0.499, 0.875], [0.249, 0.015, 0.375], [0.251, 0.625, 0.126], [0.985, 0.360, 0.234], [0.750, 0.250, 0.500], [0.624, 0.890, 0.125], [0.499, 0.125, 0.874], [0.375, 0.501, 0.626], [0.000, 0.000, 0.000], [0.126, 0.751, 0.766], [0.501, 0.376, 0.266], [0.110, 0.235, 0.734]], "crystal_system": "tetragonal", "n_ef_per_ev_cell": 26.4, "e_form_raw_kj_per_mol_fu": -1070, "dft_energy_ev_per_atom": -5.50, "sg": "I-42d", "de_polymorph_ev_per_atom": 0.014}

***

{"formula": "ZnBCl3", "functional": "PBE", "state": "optimized geometry", "cell": [[4.423, 0.000, 0.000], [0.000, 4.423, 0.000], [0.000, 0.000, 4.423]], "species": ["Cl", "Cl", "Zn", "B", "Cl"], "fractional_positions": [[0.000, 0.500, 0.000], [0.000, 0.000, 0.500], [0.500, 0.500, 0.500], [0.000, 0.000, 0.000], [0.500, 0.000, 0.000]], "crystal_system": "cubic", "n_ef_per_ev_cell": 0.7, "e_form_raw_kj_per_mol_fu": 110, "dft_energy_ev_per_atom": -2.47, "sg": "Pm-3m", "de_polymorph_ev_per_atom": 0.000}

***

Which formula does entry 3 have?
ZnBCl3